# KLaPb2, single point on PBEsol structure, DFT SCAN
data_KLaPb2
_chemical_formula_sum 'K1 La1 Pb2'
_cell_length_a 3.5354
_cell_length_b 3.5354
_cell_length_c 10.1711
_cell_angle_alpha 90.00
_cell_angle_beta 90.00
_cell_angle_gamma 90.00
_symmetry_space_group_name_H-M 'P 4/m m m'
_symmetry_Int_Tables_number 123
_symmetry_space_group_name_Hall '-P 4 2'
loop_
_atom_site_label
_atom_site_type_symbol
_atom_site_fract_x
_atom_site_fract_y
_atom_site_fract_z
_atom_site_occupancy
K1 K 0.0000 0.0000 0.0000 1
La1 La 0.0000 0.0000 0.5000 1
Pb1 Pb 0.5000 0.5000 0.2647 1
# * E above lowest polymorph: 0.032 eV per atom
# * formation energy from the elements: -0.551 eV per atom
# * D(E_F): 0.422 states/eV per atom